Here is a relaxed Cs3Ca2PaS6 crystal from Alexandria. Energies are from GGA-PBE.

## Properties
Calculated volume   30.419 A^3/atom
Raw total energy   -0.188 Ha/atom
Theoretical density   4.1 g/cm³
Magnetization   0.00 Bohr magnetons per cell

The structure in POSCAR format:
```
Cs3Ca2PaS6
1.0
3.625 -6.276 0.000
3.625 6.276 0.000
-2.402 0.000 8.023
Cs Ca Pa S
3 2 1 6
Direct
0.000 0.000 0.000
0.327 0.673 0.000
0.673 0.327 0.000
0.166 0.834 0.500
0.834 0.166 0.500
0.500 0.500 0.500
0.129 0.439 0.319
0.252 0.252 0.684
0.439 0.129 0.319
0.561 0.871 0.681
0.748 0.748 0.316
0.871 0.561 0.681
```

Here is a relaxed PrDyPuTl crystal from Alexandria. Energies are from GGA-PBE.

## Properties
Calculated volume   29.360 A^3/atom
ΔH_f (0 K)   37.7 meV/atom
Raw total energy   -0.238 Ha/atom
Theoretical density   10.6 g/cm³
Magnetization   6.67 Bohr magnetons per cell

The structure in POSCAR format:
```
PrDyPuTl
1.0
0.000 3.887 3.887
3.887 0.000 3.887
3.887 3.887 0.000
Pr Dy Pu Tl
1 1 1 1
Direct
0.000 0.000 0.000
0.500 0.500 0.500
0.250 0.250 0.250
0.750 0.750 0.750
```

Here is a relaxed Ac2Ga3Ir crystal from Alexandria. Energies are from GGA-PBE.

## Properties
Calculated volume   25.319 A^3/atom
ΔH_f (0 K)   -642.6 meV/atom
Relative energy among the computed polymorphs   0.0 meV per atom
Raw total energy   -0.184 Ha/atom
Theoretical density   9.3 g/cm³
Magnetization   0.00 Bohr magnetons per cell

The structure in POSCAR format:
```
Ac2Ga3Ir
1.0
4.367 0.000 0.000
0.000 4.475 0.000
0.000 0.000 7.773
Ac Ga Ir
2 3 1
Direct
0.000 0.000 0.000
0.500 0.000 0.471
0.000 0.500 0.324
0.000 0.500 0.657
0.500 0.500 0.826
0.500 0.500 0.158
```

Here is a relaxed PmDy5Tl2 crystal from Alexandria. Energies are from GGA-PBE.

## Properties
Calculated volume   30.401 A^3/atom
ΔH_f (0 K)   -123.1 meV/atom
Raw total energy   -0.154 Ha/atom
Theoretical density   9.3 g/cm³
Magnetization   0.00 Bohr magnetons per cell

The structure in POSCAR format:
```
PmDy5Tl2
1.0
-1.825 5.245 6.354
1.825 -5.245 6.354
1.825 5.245 -6.354
Pm Dy Tl
1 5 2
Direct
0.000 0.000 0.000
0.139 0.366 0.774
0.408 0.634 0.774
0.500 0.000 0.500
0.592 0.366 0.226
0.861 0.634 0.226
0.239 0.739 0.500
0.761 0.261 0.500
```

Here is a relaxed Sm3Dy2TmS6 crystal from Alexandria. Energies are from GGA-PBE.

## Properties
Calculated volume   21.729 A^3/atom
Raw total energy   -0.235 Ha/atom
Theoretical density   7.2 g/cm³
Magnetization   0.00 Bohr magnetons per cell

The structure in POSCAR format:
```
Sm3Dy2TmS6
1.0
3.399 -5.909 0.000
3.399 5.909 0.000
-2.272 0.000 6.492
Sm Dy Tm S
3 2 1 6
Direct
0.000 0.000 0.000
0.331 0.669 0.000
0.669 0.331 0.000
0.167 0.833 0.500
0.833 0.167 0.500
0.500 0.500 0.500
0.091 0.421 0.262
0.250 0.250 0.739
0.421 0.091 0.262
0.579 0.909 0.738
0.750 0.750 0.261
0.909 0.579 0.738
```

Here is a relaxed Ac2NpInPt6 crystal from Alexandria. Energies are from GGA-PBE.

## Properties
Calculated volume   26.396 A^3/atom
ΔH_f (0 K)   -271.2 meV/atom
Raw total energy   -0.231 Ha/atom
Theoretical density   12.4 g/cm³
Magnetization   2.52 Bohr magnetons per cell

The structure in POSCAR format:
```
Ac2NpInPt6
1.0
0.000 5.091 5.091
5.091 0.000 5.091
5.091 5.091 0.000
Ac Np In Pt
2 1 1 6
Direct
0.250 0.250 0.250
0.750 0.750 0.750
0.000 0.000 0.000
0.500 0.500 0.500
0.248 0.248 0.752
0.248 0.752 0.248
0.248 0.752 0.752
0.752 0.248 0.248
0.752 0.248 0.752
0.752 0.752 0.248
```

Here is a relaxed Tb3LuO crystal from Alexandria. Energies are from GGA-PBE.

## Properties
Calculated volume   23.963 A^3/atom
Raw total energy   -0.213 Ha/atom
Theoretical density   9.3 g/cm³
Magnetization   0.00 Bohr magnetons per cell

The structure in POSCAR format:
```
Tb3LuO
1.0
4.930 0.000 0.000
0.000 4.930 0.000
0.000 0.000 4.930
Tb Lu O
3 1 1
Direct
0.000 0.000 0.500
0.000 0.500 0.000
0.500 0.000 0.000
0.500 0.500 0.500
0.000 0.000 0.000
```

Here is a relaxed MnTcB crystal from Alexandria. Energies are from GGA-PBE.

## Properties
Calculated volume   10.405 A^3/atom
ΔH_f (0 K)   -284.8 meV/atom
Relative energy among the computed polymorphs   0.0 meV per atom
Raw total energy   -0.332 Ha/atom
Theoretical density   8.7 g/cm³
Magnetization   2.81 Bohr magnetons per cell

The structure in POSCAR format:
```
MnTcB
1.0
10.134 0.000 0.000
0.000 3.056 0.000
0.000 0.000 6.047
Mn Tc B
6 6 6
Direct
0.120 0.000 0.060
0.250 0.000 0.702
0.380 0.000 0.060
0.620 0.000 0.940
0.750 0.000 0.298
0.880 0.000 0.940
0.046 0.500 0.717
0.250 0.500 0.351
0.454 0.500 0.717
0.546 0.500 0.283
0.750 0.500 0.649
0.954 0.500 0.283
0.090 0.000 0.441
0.250 0.500 0.949
0.410 0.000 0.441
0.590 0.000 0.559
0.750 0.500 0.051
0.910 0.000 0.559
```

Here is a relaxed NiAs2W crystal from Alexandria. Energies are from GGA-PBE.

## Properties
Calculated volume   17.907 A^3/atom
ΔH_f (0 K)   79.3 meV/atom
Relative energy among the computed polymorphs   41.6 meV per atom
Raw total energy   -0.255 Ha/atom
Theoretical density   9.1 g/cm³
Magnetization   0.00 Bohr magnetons per cell

The structure in POSCAR format:
```
NiAs2W
1.0
2.837 0.000 0.000
0.000 2.837 0.000
0.000 0.000 8.900
Ni As W
1 2 1
Direct
0.000 0.000 0.000
0.000 0.000 0.409
0.500 0.500 0.829
0.500 0.500 0.194
```

Here is a relaxed PbBr3O crystal from Alexandria. Energies are from GGA-PBE.

## Properties
Calculated volume   23.668 A^3/atom
Relative energy among the computed polymorphs   0.0 meV per atom
Raw total energy   -0.099 Ha/atom
Theoretical density   6.5 g/cm³
Magnetization   0.00 Bohr magnetons per cell

The structure in POSCAR format:
```
PbBr3O
1.0
4.910 0.000 0.000
0.000 4.910 0.000
0.000 0.000 4.910
Pb Br O
1 3 1
Direct
0.000 0.000 0.000
0.000 0.500 0.500
0.500 0.000 0.500
0.500 0.500 0.000
0.500 0.500 0.500
```

Here is a relaxed RbIn4Ir crystal from Alexandria. Energies are from GGA-PBE.

## Properties
Calculated volume   31.200 A^3/atom
ΔH_f (0 K)   -49.9 meV/atom
Relative energy among the computed polymorphs   58.2 meV per atom
Raw total energy   -0.129 Ha/atom
Theoretical density   6.5 g/cm³
Magnetization   0.00 Bohr magnetons per cell

The structure in POSCAR format:
```
RbIn4Ir
1.0
4.564 -4.565 0.000
4.564 4.565 0.000
-4.553 0.000 8.985
Rb In Ir
2 8 2
Direct
0.000 0.500 0.000
0.500 0.000 0.000
0.005 0.005 0.661
0.156 0.505 0.661
0.344 0.344 0.339
0.495 0.844 0.339
0.505 0.156 0.661
0.656 0.656 0.661
0.844 0.495 0.339
0.995 0.995 0.339
0.250 0.750 0.500
0.750 0.250 0.500
```

Here is a relaxed Ti3Tl2Se6 crystal from Alexandria. Energies are from GGA-PBE.

## Properties
Calculated volume   25.211 A^3/atom
Raw total energy   -0.200 Ha/atom
Theoretical density   6.1 g/cm³
Magnetization   1.24 Bohr magnetons per cell

The structure in POSCAR format:
```
Ti3Tl2Se6
1.0
3.156 -5.471 0.000
3.156 5.471 0.000
-2.124 0.000 8.032
Ti Tl Se
3 2 6
Direct
0.000 0.000 0.000
0.330 0.670 0.000
0.670 0.330 0.000
0.166 0.834 0.500
0.834 0.166 0.500
0.066 0.397 0.191
0.272 0.272 0.811
0.397 0.066 0.191
0.603 0.934 0.809
0.728 0.728 0.189
0.934 0.603 0.809
```

Here is a relaxed Y2Ho3ThSe6 crystal from Alexandria. Energies are from GGA-PBE.

## Properties
Calculated volume   24.290 A^3/atom
Raw total energy   -0.231 Ha/atom
Theoretical density   7.9 g/cm³
Magnetization   0.00 Bohr magnetons per cell

The structure in POSCAR format:
```
Y2Ho3ThSe6
1.0
8.936 -2.038 0.000
8.936 2.038 0.000
-1.916 0.000 8.004
Y Ho Th Se
2 3 1 6
Direct
0.162 0.162 0.327
0.838 0.838 0.673
0.162 0.162 0.834
0.500 0.500 0.500
0.838 0.838 0.166
0.500 0.500 0.000
0.000 0.000 0.262
0.000 0.000 0.738
0.327 0.327 0.916
0.332 0.332 0.415
0.668 0.668 0.585
0.673 0.673 0.084
```

Here is a relaxed In6AgHg8 crystal from Alexandria. Energies are from GGA-PBE.

## Properties
Calculated volume   28.001 A^3/atom
ΔH_f (0 K)   31.1 meV/atom
Raw total energy   -0.052 Ha/atom
Theoretical density   9.5 g/cm³
Magnetization   0.00 Bohr magnetons per cell

The structure in POSCAR format:
```
In6AgHg8
1.0
8.404 0.000 0.000
-4.202 7.278 0.000
0.000 0.000 6.866
In Ag Hg
6 1 8
Direct
0.002 0.679 0.164
0.321 0.323 0.164
0.323 0.002 0.836
0.677 0.998 0.164
0.679 0.677 0.836
0.998 0.321 0.836
0.000 0.000 0.000
0.002 0.663 0.622
0.333 0.667 0.997
0.337 0.339 0.622
0.339 0.002 0.378
0.661 0.998 0.622
0.663 0.661 0.378
0.667 0.333 0.003
0.998 0.337 0.378
```

Here is a relaxed HgMoOs2 crystal from Alexandria. Energies are from GGA-PBE.

## Properties
Calculated volume   16.303 A^3/atom
ΔH_f (0 K)   494.5 meV/atom
Raw total energy   -0.290 Ha/atom
Theoretical density   17.2 g/cm³
Magnetization   0.00 Bohr magnetons per cell

The structure in POSCAR format:
```
HgMoOs2
1.0
2.848 0.000 0.000
0.000 2.848 0.000
0.000 0.000 8.041
Hg Mo Os
1 1 2
Direct
0.000 0.000 0.000
0.000 0.000 0.500
0.500 0.500 0.274
0.500 0.500 0.726
```

Here is a relaxed Mg3Zr crystal from Alexandria. Energies are from GGA-PBE.

## Properties
Calculated volume   22.440 A^3/atom
ΔH_f (0 K)   53.6 meV/atom
Raw total energy   -0.121 Ha/atom
Theoretical density   3.0 g/cm³
Magnetization   0.00 Bohr magnetons per cell

The structure in POSCAR format:
```
Mg3Zr
1.0
3.147 -4.882 0.000
3.147 4.882 0.000
0.000 0.000 2.921
Mg Zr
3 1
Direct
0.000 0.000 0.000
0.000 0.500 0.500
0.500 0.000 0.500
0.500 0.500 0.000
```

Here is a relaxed In2MoP crystal from Alexandria. Energies are from GGA-PBE.

## Properties
Calculated volume   20.918 A^3/atom
ΔH_f (0 K)   188.7 meV/atom
Raw total energy   -0.193 Ha/atom
Theoretical density   7.1 g/cm³
Magnetization   0.00 Bohr magnetons per cell

The structure in POSCAR format:
```
In2MoP
1.0
1.709 -2.540 0.000
1.709 2.540 0.000
0.000 0.000 9.640
In Mo P
2 1 1
Direct
0.000 0.000 0.000
0.500 0.500 0.296
0.000 0.000 0.541
0.500 0.500 0.708
```

Here is a relaxed CePm2DyEr crystal from Alexandria. Energies are from GGA-PBE.

## Properties
Calculated volume   33.205 A^3/atom
ΔH_f (0 K)   283.9 meV/atom
Raw total energy   -0.170 Ha/atom
Theoretical density   7.6 g/cm³
Magnetization   0.88 Bohr magnetons per cell

The structure in POSCAR format:
```
CePm2DyEr
1.0
6.682 0.000 0.000
0.000 8.135 0.000
-0.025 0.000 6.108
Ce Pm Dy Er
2 4 2 2
Direct
0.000 0.000 0.000
0.000 0.000 0.500
0.264 0.311 0.252
0.264 0.689 0.752
0.736 0.311 0.248
0.736 0.689 0.748
0.000 0.354 0.750
0.000 0.646 0.250
0.500 0.126 0.750
0.500 0.874 0.250
```

Here is a relaxed Zr5Bi crystal from Alexandria. Energies are from GGA-PBE.

## Properties
Calculated volume   23.430 A^3/atom
ΔH_f (0 K)   -131.0 meV/atom
Raw total energy   -0.290 Ha/atom
Theoretical density   7.9 g/cm³
Magnetization   0.00 Bohr magnetons per cell

The structure in POSCAR format:
```
Zr5Bi
1.0
2.233 -7.228 0.000
2.233 7.228 0.000
0.000 0.000 4.355
Zr Bi
5 1
Direct
0.000 0.000 0.000
0.170 0.830 0.500
0.329 0.671 0.000
0.671 0.329 0.000
0.830 0.170 0.500
0.500 0.500 0.500
```

Here is a relaxed BaHfMg2Nb crystal from Alexandria. Energies are from GGA-PBE.

## Properties
Calculated volume   29.518 A^3/atom
ΔH_f (0 K)   1958.1 meV/atom
Raw total energy   -0.113 Ha/atom
Theoretical density   5.1 g/cm³
Magnetization   0.00 Bohr magnetons per cell

The structure in POSCAR format:
```
BaHfMg2Nb
1.0
5.316 0.000 0.000
0.000 5.316 0.000
0.000 0.000 5.222
Ba Hf Mg Nb
1 1 2 1
Direct
0.000 0.000 0.000
0.500 0.500 0.500
0.000 0.500 0.000
0.500 0.000 0.000
0.000 0.000 0.500
```